MnZnO2 PBE with a Hubbard U optimized geometry; DFT total energy = -46.2 eV per cell
1.0
-2.808 2.808 2.740
2.808 -2.808 2.740
2.808 2.808 -2.740
Mn Zn O
2 2 4
direct
0.250 0.250 0.000
0.750 0.750 0.000
0.250 0.750 0.500
0.750 0.250 0.500
0.189 0.689 0.878
0.311 0.189 0.500
0.689 0.811 0.500
0.811 0.311 0.122